(1)
The following is a DFT calculation (PBE) of a relaxed Ta2AgCl crystal.

Cell lengths 10.2329, 10.2329, 10.2329 Å; angles 16.93, 16.93, 16.93 degrees
Element x y z (fractional)
Ta 0.0049 0.0049 0.0049
Ta 0.2547 0.2547 0.2547
Cl 0.7309 0.7309 0.7309
Ag 0.5094 0.5094 0.5094

Magnetization = 0.0 μB per cell
Theoretical density = 10.6 g/cm3
Energy relative to the elements, uncorrected = -0.0527 eV/atom



(2)
The following is a DFT calculation (PBE) of a relaxed Ca5HoPt6 crystal.

Cell lengths 4.9132, 7.0576, 7.7720 Å; angles 90.00, 71.57, 90.00 degrees
Element x y z (fractional)
Pt 0.5000 0.7670 0.0000
Pt 0.5000 0.2330 0.0000
Pt 0.1601 0.7543 0.6798
Pt 0.8399 0.2457 0.3202
Pt 0.1601 0.2457 0.6798
Pt 0.8399 0.7543 0.3202
Ca 0.3291 0.0000 0.3418
Ca 0.6709 0.0000 0.6582
Ca 0.6664 0.5000 0.6671
Ca 0.0000 0.5000 0.0000
Ca 0.3336 0.5000 0.3329
Ho 0.0000 0.0000 0.0000

Magnetization = 0.0 μB per cell
Theoretical density = 10.0 g/cm3
Formation energy = -0.963 eV per atom



(3)
The following is a DFT calculation (PBE) of a relaxed Cd3Ag crystal.

Cell lengths 8.9931, 4.1084, 11.4719 Å; angles 90.00, 168.67, 90.00 degrees
Element x y z (fractional)
Cd 0.2195 0.5000 0.9802
Cd 0.7805 0.5000 0.0198
Cd 0.5000 0.0000 0.0000
Ag 0.0000 0.0000 0.0000

Magnetization = 0.0 μB per cell
Theoretical density = 8.9 g/cm3
Formation energy = -0.014 eV per atom



(4)
The following is a DFT calculation (PBE) of a relaxed Sr2FeRh crystal.

Cell lengths 4.3277, 4.3277, 8.2073 Å; angles 82.02, 82.02, 46.59 degrees
Element x y z (fractional)
Sr 0.5050 0.5050 0.4722
Sr 0.9950 0.9950 0.0278
Fe 0.7500 0.7500 0.7500
Rh 0.2500 0.2500 0.2500

Magnetization = 2.8 μB per cell
Theoretical density = 5.0 g/cm3
Formation energy = 0.580 eV per atom



(5)
The following is a DFT calculation (PBE) of a relaxed CsNiRu crystal.

Cell lengths 4.2752, 4.4139, 11.1317 Å; angles 91.45, 92.09, 99.35 degrees
Element x y z (fractional)
Ni 0.7966 0.3726 0.9231
Ni 0.2034 0.6274 0.0769
Ru 0.7272 0.8560 0.9995
Ru 0.2728 0.1440 0.0005
Cs 0.7375 0.2360 0.2759
Cs 0.2625 0.7640 0.7241

Magnetization = 0.0 μB per cell
Theoretical density = 4.7 g/cm3
Formation energy = 0.560 eV per atom



(6)
The following is a DFT calculation (PBE) of a relaxed Nd2DyHo2Th2 crystal.

Cell lengths 3.4774, 9.1770, 8.5434 Å; angles 118.65, 90.00, 100.92 degrees
Element x y z (fractional)
Ho 0.7899 0.5799 0.3800
Ho 0.2101 0.4201 0.6200
Th 0.4343 0.8685 0.7739
Th 0.5657 0.1315 0.2261
Nd 0.6441 0.2883 0.9165
Nd 0.3559 0.7117 0.0835
Dy 0.0000 0.0000 0.5000

Magnetization = 0.0 μB per cell
Theoretical density = 8.8 g/cm3
Formation energy = 0.171 eV per atom



(7)
The following is a DFT calculation (PBE) of a relaxed NaTe3Au3 crystal.

Cell lengths 7.6431, 7.6431, 8.9995 Å; angles 64.87, 64.87, 60.00 degrees
Element x y z (fractional)
Au 0.7524 0.1569 0.6222
Au 0.8431 0.5315 0.3778
Au 0.1569 0.4685 0.6222
Au 0.4685 0.7524 0.6222
Au 0.5315 0.2476 0.3778
Au 0.2476 0.8431 0.3778
Te 0.0582 0.7804 0.7540
Te 0.4074 0.0582 0.7540
Te 0.9418 0.2196 0.2460
Te 0.2196 0.5926 0.2460
Te 0.7804 0.4074 0.7540
Te 0.5926 0.9418 0.2460
Na 0.6564 0.6564 0.0308
Na 0.3436 0.3436 0.9692

Magnetization = 0.0 μB per cell
Theoretical density = 8.3 g/cm3
Energy relative to the elements, uncorrected = -0.1488 eV/atom



(8)
The following is a DFT calculation (PBE) of a relaxed LiAgSb2Te crystal.

Cell lengths 5.0086, 5.0086, 5.1364 Å; angles 90.00, 90.00, 90.00 degrees
Element x y z (fractional)
Te 0.0000 0.0000 0.5000
Sb 0.5000 0.0000 0.0000
Sb 0.0000 0.5000 0.0000
Li 0.0000 0.0000 0.0000
Ag 0.5000 0.5000 0.5000

Magnetization = 0.0 μB per cell
Theoretical density = 6.3 g/cm3
Energy relative to the elements, uncorrected = 0.3669 eV/atom



(9)
The following is a DFT calculation (PBE) of a relaxed DyEr4Cu crystal.

Cell lengths 3.4699, 3.4699, 13.6428 Å; angles 90.00, 90.00, 90.00 degrees
Element x y z (fractional)
Er 0.5000 0.5000 0.8158
Er 0.0000 0.0000 0.3757
Er 0.5000 0.5000 0.1842
Er 0.0000 0.0000 0.6243
Cu 0.5000 0.5000 0.5000
Dy 0.0000 0.0000 0.0000

Magnetization = 0.0 μB per cell
Theoretical density = 9.0 g/cm3
Formation energy = -0.062 eV per atom



(10)
The following is a DFT calculation (PBE) of a relaxed Ca5H12Ru2 crystal.

Cell lengths 5.8975, 6.4101, 7.1906 Å; angles 105.54, 90.00, 117.39 degrees
Element x y z (fractional)
H 0.1039 0.6828 0.9199
H 0.0936 0.6824 0.4163
H 0.5888 0.6824 0.4163
H 0.4112 0.3176 0.5837
H 0.5092 0.0184 0.8644
H 0.4908 0.9816 0.1356
H 0.4212 0.3172 0.0801
H 0.5788 0.6828 0.9199
H 0.0064 0.0128 0.8470
H 0.8961 0.3172 0.0801
H 0.9936 0.9872 0.1530
H 0.9064 0.3176 0.5837
Ca 0.3010 0.6020 0.1515
Ca 0.0000 0.0000 0.5000
Ca 0.6990 0.3980 0.8485
Ca 0.6729 0.3457 0.3427
Ca 0.3271 0.6543 0.6573
Ru 0.7559 0.0000 0.0000
Ru 0.2441 0.0000 0.0000

Magnetization = 0.0 μB per cell
Theoretical density = 3.0 g/cm3
Raw total energy = -77.0 eV per cell



(11)
The following is a DFT calculation (PBE) of a relaxed Na8B11C5 crystal.

Cell lengths 9.0420, 9.0420, 5.7762 Å; angles 99.19, 99.19, 32.03 degrees
Element x y z (fractional)
B 0.4572 0.7925 0.0624
B 0.7143 0.0357 0.1893
B 0.4574 0.7927 0.5625
B 0.5346 0.2153 0.4375
B 0.9575 0.2928 0.8126
B 0.7143 0.0357 0.6857
B 0.5257 0.2243 0.9375
B 0.1903 0.5597 0.4375
B 0.0567 0.6934 0.7022
B 0.0566 0.6933 0.1728
B 0.9573 0.2926 0.3125
Na 0.7500 0.7475 0.8744
Na 0.7467 0.7499 0.3742
Na 0.2481 0.2485 0.1243
Na 0.5013 0.5020 0.2509
Na 0.0025 0.0000 0.0006
Na 0.2480 0.2487 0.6241
Na 0.0001 0.0033 0.5008
Na 0.5015 0.5019 0.7507
C 0.2098 0.5402 0.9375
C 0.2923 0.9573 0.3124
C 0.7925 0.4574 0.0625
C 0.7927 0.4577 0.5626
C 0.2926 0.9575 0.8125

Magnetization = 0.0 μB per cell
Theoretical density = 2.4 g/cm3
Formation energy = 0.138 eV per atom



(12)
The following is a DFT calculation (PBE) of a relaxed AcTb2TcN4 crystal.

Cell lengths 3.5452, 6.2625, 11.7785 Å; angles 90.00, 90.00, 106.44 degrees
Element x y z (fractional)
N 0.7375 0.4750 0.8767
N 0.2625 0.5250 0.1233
N 0.4249 0.8498 0.7500
N 0.5751 0.1502 0.2500
N 0.2625 0.5250 0.3767
N 0.0000 0.0000 0.0000
N 0.0000 0.0000 0.5000
N 0.7375 0.4750 0.6233
Tc 0.8475 0.6951 0.7500
Tc 0.1525 0.3049 0.2500
Ac 0.8899 0.7799 0.2500
Ac 0.1101 0.2201 0.7500
Tb 0.6317 0.2635 0.0409
Tb 0.3683 0.7365 0.5409
Tb 0.3683 0.7365 0.9591
Tb 0.6317 0.2635 0.4591

Magnetization = 0.0 μB per cell
Theoretical density = 9.3 g/cm3
Energy relative to the elements, uncorrected = -1.0457 eV/atom



(13)
The following is a DFT calculation (PBE) of a relaxed TmPuS3 crystal.

Cell lengths 3.9118, 7.2673, 14.9951 Å; angles 90.00, 90.00, 90.00 degrees
Element x y z (fractional)
Tm 0.2500 0.7652 0.5421
Tm 0.7500 0.2348 0.4579
Tm 0.7500 0.7348 0.0421
Tm 0.2500 0.2652 0.9579
S 0.2500 0.8761 0.9345
S 0.7500 0.6239 0.4345
S 0.7500 0.9886 0.6052
S 0.7500 0.4886 0.8948
S 0.2500 0.6473 0.7189
S 0.2500 0.3761 0.5655
S 0.7500 0.3527 0.2811
S 0.2500 0.5114 0.1052
S 0.7500 0.8527 0.2189
S 0.7500 0.1239 0.0655
S 0.2500 0.0114 0.3948
S 0.2500 0.1473 0.7811
Pu 0.2500 0.1398 0.2062
Pu 0.7500 0.8602 0.7938
Pu 0.7500 0.3602 0.7062
Pu 0.2500 0.6398 0.2938

Magnetization = 20.0 μB per cell
Theoretical density = 7.9 g/cm3
Energy relative to the elements, uncorrected = -1.8643 eV/atom



(14)
The following is a DFT calculation (PBE) of a relaxed RbMg2ZrFe crystal.

Cell lengths 5.2306, 4.4839, 5.2306 Å; angles 90.00, 90.00, 90.00 degrees
Element x y z (fractional)
Zr 0.5000 0.5000 0.5000
Mg 0.0000 0.0000 0.5000
Mg 0.5000 0.0000 0.0000
Fe 0.0000 0.5000 0.0000
Rb 0.0000 0.0000 0.0000

Magnetization = 0.0 μB per cell
Theoretical density = 3.8 g/cm3
Formation energy = 1.884 eV per atom



(15)
The following is a DFT calculation (PBE) of a relaxed La6PmSm5 crystal.

Cell lengths 6.4091, 8.2015, 8.2015 Å; angles 84.89, 97.36, 97.36 degrees
Element x y z (fractional)
La 0.2503 0.7498 0.7498
La 0.2501 0.4169 0.0834
La 0.7499 0.9166 0.5831
La 0.2501 0.0834 0.4169
La 0.7497 0.2502 0.2502
La 0.7499 0.5831 0.9166
Sm 0.5000 0.5000 0.5000
Sm 0.5000 0.8332 0.1668
Sm 0.0000 0.6666 0.3334
Sm 0.0000 0.3334 0.6666
Sm 0.5000 0.1668 0.8332
Pm 0.0000 0.0000 0.0000

Magnetization = 0.0 μB per cell
Theoretical density = 6.8 g/cm3
Formation energy = 0.010 eV per atom



(16)
The following is a DFT calculation (PBE) of a relaxed TbLu2Th crystal.

Cell lengths 3.5300, 3.5300, 9.8994 Å; angles 90.00, 90.00, 90.00 degrees
Element x y z (fractional)
Lu 0.0000 0.0000 0.2462
Lu 0.0000 0.0000 0.7538
Tb 0.5000 0.5000 0.5000
Th 0.5000 0.5000 0.0000

Magnetization = 0.0 μB per cell
Theoretical density = 10.0 g/cm3
Formation energy = 0.021 eV per atom



(17)
The following is a DFT calculation (PBE) of a relaxed NaNdHgBi crystal.

Cell lengths 5.4600, 5.4600, 5.4600 Å; angles 60.00, 60.00, 60.00 degrees
Element x y z (fractional)
Hg 0.7500 0.7500 0.7500
Bi 0.2500 0.2500 0.2500
Na 0.0000 0.0000 0.0000
Nd 0.5000 0.5000 0.5000

Magnetization = 0.0 μB per cell
Theoretical density = 8.3 g/cm3
Formation energy = -0.459 eV per atom



(18)
The following is a DFT calculation (PBE) of a relaxed La2AlPb crystal.

Cell lengths 9.9393, 9.9393, 9.9393 Å; angles 22.83, 22.83, 22.83 degrees
Element x y z (fractional)
Pb 0.2500 0.2500 0.2500
Al 0.7500 0.7500 0.7500
La 0.4944 0.4944 0.4944
La 0.0056 0.0056 0.0056

Magnetization = 0.0 μB per cell
Theoretical density = 6.6 g/cm3
Formation energy = -0.250 eV per atom



(19)
The following is a DFT calculation (PBE) of a relaxed NdPaCu4 crystal.

Cell lengths 5.2688, 5.2688, 5.2688 Å; angles 60.00, 60.00, 60.00 degrees
Element x y z (fractional)
Cu 0.6247 0.6247 0.6247
Cu 0.1260 0.6247 0.6247
Cu 0.6247 0.1260 0.6247
Cu 0.6247 0.6247 0.1260
Pa 0.2500 0.2500 0.2500
Nd 0.0000 0.0000 0.0000

Magnetization = 0.0 μB per cell
Theoretical density = 10.1 g/cm3
Formation energy = 0.034 eV per atom



(20)
The following is a DFT calculation (PBE) of a relaxed Si2HgP crystal.

Cell lengths 4.6727, 4.6727, 4.6727 Å; angles 60.00, 60.00, 60.00 degrees
Element x y z (fractional)
Si 0.2500 0.2500 0.2500
Si 0.0000 0.0000 0.0000
Hg 0.5000 0.5000 0.5000
P 0.7500 0.7500 0.7500

Magnetization = 0.0 μB per cell
Theoretical density = 6.6 g/cm3
Energy relative to the elements, uncorrected = 0.7833 eV/atom



(21)
The following is a DFT calculation (PBE) of a relaxed Ac2LaRh3O12 crystal.

Cell lengths 6.8173, 6.8173, 6.8173 Å; angles 64.00, 64.00, 64.00 degrees
Element x y z (fractional)
Ac 0.6126 0.6126 0.6126
Ac 0.3874 0.3874 0.3874
O 0.5517 0.1489 0.1489
O 0.2723 0.8591 0.2723
O 0.4483 0.8511 0.8511
O 0.1489 0.1489 0.5517
O 0.8511 0.4483 0.8511
O 0.1489 0.5517 0.1489
O 0.1409 0.7277 0.7277
O 0.8591 0.2723 0.2723
O 0.2723 0.2723 0.8591
O 0.7277 0.1409 0.7277
O 0.8511 0.8511 0.4483
O 0.7277 0.7277 0.1409
Rh 0.0000 0.0000 0.5000
Rh 0.5000 0.0000 0.0000
Rh 0.0000 0.5000 0.0000
La 0.0000 0.0000 0.0000

Magnetization = 5.9 μB per cell
Theoretical density = 7.4 g/cm3
Energy relative to the elements, uncorrected = -1.7346 eV/atom



(22)
The following is a DFT calculation (PBE) of a relaxed LiPmSmRe crystal.

Cell lengths 5.0154, 5.0154, 5.0154 Å; angles 60.00, 60.00, 60.00 degrees
Element x y z (fractional)
Re 0.5000 0.5000 0.5000
Li 0.0000 0.0000 0.0000
Pm 0.2500 0.2500 0.2500
Sm 0.7500 0.7500 0.7500

Magnetization = 0.0 μB per cell
Theoretical density = 9.1 g/cm3
Formation energy = 0.141 eV per atom



(23)
The following is a DFT calculation (PBE) of a relaxed YNiPd2 crystal.

Cell lengths 4.3494, 4.3494, 5.1234 Å; angles 64.88, 64.88, 60.00 degrees
Element x y z (fractional)
Pd 0.7863 0.7863 0.6410
Pd 0.2137 0.2137 0.3590
Y 0.0000 0.0000 0.0000
Ni 0.5000 0.5000 0.5000

Magnetization = 0.0 μB per cell
Theoretical density = 8.2 g/cm3
Formation energy = -0.498 eV per atom



(24)
The following is a DFT calculation (PBE) of a relaxed ZrP2Au crystal.

Cell lengths 5.5485, 5.5485, 5.5485 Å; angles 140.49, 140.49, 57.12 degrees
Element x y z (fractional)
Au 0.7500 0.2500 0.5000
Zr 0.5000 0.5000 0.0000
P 0.2500 0.7500 0.5000
P 0.0000 0.0000 0.0000

Magnetization = 0.0 μB per cell
Theoretical density = 8.5 g/cm3
Formation energy = -0.398 eV per atom